{"formula": "Al2AgSn", "functional": "PBE", "state": "relaxed", "vol_a3_per_atom": 20.35, "formation_enthalpy_0k_ev_per_fu": 0.479, "dft_energy_ev_per_fu": -13.9, "magnetic_moment_mub_per_cell": 0.0, "lattice": [[1.517, 0.876, 10.206], [-1.517, 0.876, 10.206], [0.000, -1.752, 10.206]], "species": ["Al", "Al", "Ag", "Sn"], "fractional_positions": [[0.095, 0.095, 0.095], [0.905, 0.905, 0.905], [0.500, 0.500, 0.500], [0.000, 0.000, 0.000]]}